The following is a DFT calculation (GGA-PBE) of a geometry-optimized LiGeRh structure.

Values from the calculation:
total moment = 0.0 μB per formula unit
D(E_F) = 0.41 states/eV/f.u.
ΔE_f = -0.579 eV per atom
calculated total energy = -5.207 eV per atom

a = 4.0637 Å, b = 4.0637 Å, c = 6.1392 Å
α = 90.00°, β = 90.00°, γ = 90.00°
Space group P4/nmm (No. 129, origin choice 2)
One atom of each set of equivalent atoms:
Li 0.2500 0.2500 0.1736 x2
Ge 0.2500 0.2500 0.7279 x2
Rh 0.2500 0.7500 0.5000 x2